Tl2ZnNiHg | Alexandria via LeMat-Bulk | PBE | optimized geometry; energy relative to the elements = 9 kJ per mole of atoms; electronic total energy = -2.33 eV per atom; density = 9696 kg/m³; Fermi-level density of states = 1.7 states/eV/f.u.
1.0
5.123 0.000 0.000
0.000 5.123 0.000
0.000 0.000 4.785
Tl Zn Ni Hg
2 1 1 1
Cartesian
0.000 2.562 0.000 Tl
2.562 0.000 0.000 Tl
0.000 0.000 2.393 Zn
0.000 0.000 0.000 Ni
2.562 2.562 2.393 Hg

***

Tm5NiHg | Alexandria via LeMat-Bulk | PBE | optimized geometry; energy relative to the elements = -12 kJ per mole of atoms; electronic total energy = -4.19 eV per atom; density = 9790 kg/m³; Fermi-level density of states = 7.2 states/eV/f.u.
1.0
5.468 -3.320 0.000
5.468 3.320 0.000
-3.997 0.000 10.315
Tm Ni Hg
10 2 2
Cartesian
2.471 3.282 7.736 Tm
1.940 1.134 1.419 Tm
2.285 1.121 4.719 Tm
-0.059 -1.134 6.577 Tm
6.653 1.121 0.438 Tm
0.286 -1.121 9.877 Tm
6.998 1.134 3.738 Tm
4.655 -1.121 5.596 Tm
5.000 -1.134 8.896 Tm
4.469 -3.282 2.579 Tm
0.000 0.000 0.000 Ni
-1.998 0.000 5.158 Ni
2.471 0.127 7.736 Hg
4.469 -0.127 2.579 Hg